Record 1
Pm8MgIn6 | Alexandria via LeMat-Bulk | PBE | relaxed; raw total energy = -3.96 eV per atom; space-group type = R-3 (148); formation energy = -0.23 eV per atom
1.0
4.584 2.647 6.565
-4.584 2.647 6.565
0.000 -5.294 6.565
Pm Mg In
8 1 6
Cartesian
-1.433 -2.546 7.621
0.000 0.000 3.238
-2.922 -0.032 12.073
-1.488 2.514 7.621
1.488 -2.514 12.073
2.922 0.032 7.621
0.000 0.000 16.456
1.433 2.546 12.073
0.000 0.000 9.847
-3.002 -0.025 8.785
-1.480 -2.613 10.909
1.523 -2.588 8.785
-1.523 2.588 10.909
1.480 2.613 8.785
3.002 0.025 10.909

Record 2
Hf3HgW | Alexandria via LeMat-Bulk | PBE | relaxed; raw total energy = -7.73 eV per atom; ΔE to the lowest computed polymorph = 0 meV/atom; space-group type = Pm-3m (221); formation energy = 0.90 eV per atom
1.0
5.067 0.000 0.000
0.000 5.067 0.000
0.000 0.000 5.067
Hf Hg W
3 1 1
Cartesian
0.000 0.000 2.533
0.000 2.533 0.000
2.533 0.000 0.000
2.533 2.533 2.533
0.000 0.000 0.000

Record 3
Sm3Y3ScS8 | Alexandria via LeMat-Bulk | PBE | relaxed; raw total energy = -6.90 eV per atom; E_form (uncorrected) = -30.59 eV/f.u.; space-group type = R-3m (166)
1.0
3.925 2.266 6.463
-3.925 2.266 6.463
0.000 -4.532 6.463
Sm Y Sc S
3 3 1 8
Cartesian
-1.962 -1.133 6.463
-1.962 1.133 12.926
0.000 2.266 6.463
-3.925 0.000 9.694
-1.962 1.133 3.231
1.962 1.133 3.231
0.000 0.000 9.694
0.000 0.000 4.794
-1.907 -1.101 11.213
0.000 -2.202 8.176
-1.907 1.101 8.176
1.907 -1.101 11.213
0.000 2.202 11.213
1.907 1.101 8.176
0.000 0.000 14.595